<1>
# GaTcW (PBE-GGA, optimized geometry)
# density of states at the Fermi level: 0.3557 states/eV/atom
# space-group type: I4mm
data_GaTcW
_chemical_formula_sum 'Ga1 Tc1 W1'
_space_group_name_H-M_alt 'P 1'
_space_group_IT_number 1
_cell_length_a 3.142
_cell_length_b 3.142
_cell_length_c 5.086
_cell_angle_alpha 107.99
_cell_angle_beta 107.99
_cell_angle_gamma 90.00
loop_
_space_group_symop_operation_xyz
'x,y,z'
loop_
_atom_site_label
_atom_site_fract_x
_atom_site_fract_y
_atom_site_fract_z
W1 0.327 0.327 0.653
Tc1 0.670 0.670 0.341
Ga1 0.003 0.003 0.006

<2>
# GaTcW (PBE-GGA, optimized geometry)
# density of states at the Fermi level: 0.5132 states/eV/atom
# space-group type: Fmmm
data_GaTcW
_chemical_formula_sum 'Ga2 Tc2 W2'
_space_group_name_H-M_alt 'P 1'
_space_group_IT_number 1
_cell_length_a 5.539
_cell_length_b 4.434
_cell_length_c 6.037
_cell_angle_alpha 73.35
_cell_angle_beta 62.69
_cell_angle_gamma 51.35
loop_
_space_group_symop_operation_xyz
'x,y,z'
loop_
_atom_site_label
_atom_site_fract_x
_atom_site_fract_y
_atom_site_fract_z
W1 0.750 0.500 0.500
W2 0.250 0.500 0.500
Ga1 0.829 0.343 0.000
Ga2 0.171 0.657 0.000
Tc1 0.623 0.000 0.754
Tc2 0.377 0.000 0.246

<3>
# GaTcW (PBE-GGA, optimized geometry)
# density of states at the Fermi level: 0.4661 states/eV/atom
# space-group type: C2/m
data_GaTcW
_chemical_formula_sum 'Ga2 Tc2 W2'
_space_group_name_H-M_alt 'P 1'
_space_group_IT_number 1
_cell_length_a 4.437
_cell_length_b 4.425
_cell_length_c 6.958
_cell_angle_alpha 129.70
_cell_angle_beta 71.51
_cell_angle_gamma 120.01
loop_
_space_group_symop_operation_xyz
'x,y,z'
loop_
_atom_site_label
_atom_site_fract_x
_atom_site_fract_y
_atom_site_fract_z
Ga1 0.667 0.255 0.922
Ga2 0.333 0.745 0.078
Tc1 0.999 0.757 0.758
Tc2 0.001 0.243 0.242
W1 0.335 0.251 0.583
W2 0.665 0.749 0.417

If we sort the structures by their calculated energies, the order from most to least stable is <1>, <3>, <2>.

<1>
# Ga2Tc2W (PBE-GGA, optimized geometry)
# density of states at the Fermi level: 0.8621 states/eV/atom
# space-group type: P4/mbm
data_Ga2Tc2W
_chemical_formula_sum 'Ga4 Tc4 W2'
_space_group_name_H-M_alt 'P 1'
_space_group_IT_number 1
_cell_length_a 6.913
_cell_length_b 6.913
_cell_length_c 3.106
_cell_angle_alpha 90.00
_cell_angle_beta 90.00
_cell_angle_gamma 90.00
loop_
_space_group_symop_operation_xyz
'x,y,z'
loop_
_atom_site_label
_atom_site_fract_x
_atom_site_fract_y
_atom_site_fract_z
Ga1 0.366 0.866 0.000
Ga2 0.866 0.634 0.000
Ga3 0.634 0.134 0.000
Ga4 0.134 0.366 0.000
Tc1 0.164 0.664 0.500
Tc2 0.664 0.836 0.500
Tc3 0.836 0.336 0.500
Tc4 0.336 0.164 0.500
W1 0.000 0.000 0.000
W2 0.500 0.500 0.000

<2>
# Ga2Tc2W (PBE-GGA, optimized geometry)
# density of states at the Fermi level: 0.7226 states/eV/atom
# space-group type: Cmmm
data_Ga2Tc2W
_chemical_formula_sum 'Ga2 Tc2 W1'
_space_group_name_H-M_alt 'P 1'
_space_group_IT_number 1
_cell_length_a 3.104
_cell_length_b 3.073
_cell_length_c 8.632
_cell_angle_alpha 79.75
_cell_angle_beta 90.00
_cell_angle_gamma 90.00
loop_
_space_group_symop_operation_xyz
'x,y,z'
loop_
_atom_site_label
_atom_site_fract_x
_atom_site_fract_y
_atom_site_fract_z
Ga1 0.000 0.181 0.638
Ga2 0.000 0.819 0.362
Tc1 0.500 0.408 0.184
Tc2 0.500 0.592 0.816
W1 0.000 0.000 0.000

If we sort the structures by their calculated energies, the order from most to least stable is <2>, <1>.

<1>
# YGa2Tc2 (PBE-GGA, optimized geometry)
# density of states at the Fermi level: 1.2081 states/eV/atom
# space-group type: I4/mmm
data_YGa2Tc2
_chemical_formula_sum 'Y1 Ga2 Tc2'
_space_group_name_H-M_alt 'P 1'
_space_group_IT_number 1
_cell_length_a 3.917
_cell_length_b 3.917
_cell_length_c 6.463
_cell_angle_alpha 72.36
_cell_angle_beta 72.36
_cell_angle_gamma 90.00
loop_
_space_group_symop_operation_xyz
'x,y,z'
loop_
_atom_site_label
_atom_site_fract_x
_atom_site_fract_y
_atom_site_fract_z
Y1 0.000 0.000 0.000
Tc1 0.750 0.250 0.500
Tc2 0.250 0.750 0.500
Ga1 0.393 0.393 0.214
Ga2 0.607 0.607 0.786

<2>
# YGa2Tc2 (PBE-GGA, optimized geometry)
# density of states at the Fermi level: 0.9131 states/eV/atom
# space-group type: I4/mmm
data_YGa2Tc2
_chemical_formula_sum 'Y1 Ga2 Tc2'
_space_group_name_H-M_alt 'P 1'
_space_group_IT_number 1
_cell_length_a 4.500
_cell_length_b 4.500
_cell_length_c 5.679
_cell_angle_alpha 66.66
_cell_angle_beta 66.66
_cell_angle_gamma 90.00
loop_
_space_group_symop_operation_xyz
'x,y,z'
loop_
_atom_site_label
_atom_site_fract_x
_atom_site_fract_y
_atom_site_fract_z
Y1 0.000 0.000 0.000
Tc1 0.381 0.381 0.238
Tc2 0.619 0.619 0.762
Ga1 0.750 0.250 0.500
Ga2 0.250 0.750 0.500

If we sort the structures by their calculated energies, the order from most to least stable is <1>, <2>.

<1>
# Y2Ga2Tc (PBE-GGA, optimized geometry)
# density of states at the Fermi level: 1.6174 states/eV/atom
# space-group type: P4/mbm
data_Y2Ga2Tc
_chemical_formula_sum 'Y4 Ga4 Tc2'
_space_group_name_H-M_alt 'P 1'
_space_group_IT_number 1
_cell_length_a 7.062
_cell_length_b 7.062
_cell_length_c 4.203
_cell_angle_alpha 90.00
_cell_angle_beta 90.00
_cell_angle_gamma 90.00
loop_
_space_group_symop_operation_xyz
'x,y,z'
loop_
_atom_site_label
_atom_site_fract_x
_atom_site_fract_y
_atom_site_fract_z
Y1 0.180 0.680 0.500
Y2 0.680 0.820 0.500
Y3 0.820 0.320 0.500
Y4 0.320 0.180 0.500
Tc1 0.000 0.000 0.000
Tc2 0.500 0.500 0.000
Ga1 0.371 0.871 0.000
Ga2 0.871 0.629 0.000
Ga3 0.629 0.129 0.000
Ga4 0.129 0.371 0.000

<2>
# Y2Ga2Tc (PBE-GGA, optimized geometry)
# density of states at the Fermi level: 0.9361 states/eV/atom
# space-group type: C2/m
data_Y2Ga2Tc
_chemical_formula_sum 'Y4 Ga4 Tc2'
_space_group_name_H-M_alt 'P 1'
_space_group_IT_number 1
_cell_length_a 4.340
_cell_length_b 5.703
_cell_length_c 9.738
_cell_angle_alpha 87.91
_cell_angle_beta 77.12
_cell_angle_gamma 67.63
loop_
_space_group_symop_operation_xyz
'x,y,z'
loop_
_atom_site_label
_atom_site_fract_x
_atom_site_fract_y
_atom_site_fract_z
Y1 0.674 0.320 0.332
Y2 0.923 0.269 0.885
Y3 0.326 0.680 0.668
Y4 0.077 0.731 0.115
Ga1 0.081 0.271 0.567
Ga2 0.629 0.863 0.880
Ga3 0.919 0.729 0.433
Ga4 0.371 0.137 0.120
Tc1 0.644 0.073 0.640
Tc2 0.356 0.927 0.360

If we sort the structures by their calculated energies, the order from most to least stable is <2>, <1>.

<1>
# Y2Ga3Tc (PBE-GGA, optimized geometry)
# density of states at the Fermi level: 0.4155 states/eV/atom
# space-group type: Immm
data_Y2Ga3Tc
_chemical_formula_sum 'Y2 Ga3 Tc1'
_space_group_name_H-M_alt 'P 1'
_space_group_IT_number 1
_cell_length_a 4.625
_cell_length_b 5.408
_cell_length_c 6.193
_cell_angle_alpha 115.89
_cell_angle_beta 111.92
_cell_angle_gamma 90.00
loop_
_space_group_symop_operation_xyz
'x,y,z'
loop_
_atom_site_label
_atom_site_fract_x
_atom_site_fract_y
_atom_site_fract_z
Y1 0.699 0.199 0.397
Y2 0.301 0.801 0.603
Ga1 0.377 0.377 0.755
Ga2 0.000 0.000 0.000
Ga3 0.623 0.623 0.245
Tc1 0.000 0.500 0.000

<2>
# Y2Ga3Tc (PBE-GGA, optimized geometry)
# density of states at the Fermi level: 0.6305 states/eV/atom
# space-group type: R-3m
data_Y2Ga3Tc
_chemical_formula_sum 'Y2 Ga3 Tc1'
_space_group_name_H-M_alt 'P 1'
_space_group_IT_number 1
_cell_length_a 5.512
_cell_length_b 5.512
_cell_length_c 5.410
_cell_angle_alpha 90.01
_cell_angle_beta 120.63
_cell_angle_gamma 119.99
loop_
_space_group_symop_operation_xyz
'x,y,z'
loop_
_atom_site_label
_atom_site_fract_x
_atom_site_fract_y
_atom_site_fract_z
Y1 0.743 0.372 0.115
Y2 0.257 0.628 0.885
Ga1 0.500 0.500 0.500
Ga2 0.000 0.000 0.500
Ga3 0.500 0.000 0.500
Tc1 0.000 0.000 0.000

If we sort the structures by their calculated energies, the order from most to least stable is <2>, <1>.

<1>
# YGaTc3 (PBE-GGA, optimized geometry)
# density of states at the Fermi level: 1.5173 states/eV/atom
# space-group type: Pm-3m
data_YGaTc3
_chemical_formula_sum 'Y1 Ga1 Tc3'
_space_group_name_H-M_alt 'P 1'
_space_group_IT_number 1
_cell_length_a 4.637
_cell_length_b 4.637
_cell_length_c 4.637
_cell_angle_alpha 90.00
_cell_angle_beta 90.00
_cell_angle_gamma 90.00
loop_
_space_group_symop_operation_xyz
'x,y,z'
loop_
_atom_site_label
_atom_site_fract_x
_atom_site_fract_y
_atom_site_fract_z
Y1 0.500 0.500 0.500
Tc1 0.000 0.500 0.000
Tc2 0.000 0.000 0.500
Tc3 0.500 0.000 0.000
Ga1 0.000 0.000 0.000

<2>
# YGaTc3 (PBE-GGA, optimized geometry)
# density of states at the Fermi level: 1.0982 states/eV/atom
# space-group type: Pm-3m
data_YGaTc3
_chemical_formula_sum 'Y1 Ga1 Tc3'
_space_group_name_H-M_alt 'P 1'
_space_group_IT_number 1
_cell_length_a 4.891
_cell_length_b 4.891
_cell_length_c 4.891
_cell_angle_alpha 90.00
_cell_angle_beta 90.00
_cell_angle_gamma 90.00
loop_
_space_group_symop_operation_xyz
'x,y,z'
loop_
_atom_site_label
_atom_site_fract_x
_atom_site_fract_y
_atom_site_fract_z
Y1 0.000 0.000 0.000
Tc1 0.000 0.500 0.000
Tc2 0.000 0.000 0.500
Tc3 0.500 0.000 0.000
Ga1 0.500 0.500 0.500

If we sort the structures by their calculated energies, the order from most to least stable is <1>, <2>.